Compound: K2CoNi
Source: Alexandria via LeMat-Bulk
Functional: PBE
Structure: relaxed

Calculated values
- distance to the lowest polymorph of the same formula (kJ/mol of formula units) = 72
- calculated formation energy (eV/atom) = 0.72
- size of the total moment (μB per cell) = 2.1

a = 6.1440 Å, b = 6.1440 Å, c = 6.1440 Å
α = 142.41°, β = 125.30°, γ = 68.27°
Closest atoms and distances in Å follow each position.
Atoms (fractional coordinates):
K1 0.0257 0.0257 0.0000  4 K 3.44-3.69, 4 Co 3.46-3.67, 4 Ni 3.60
Ni1 0.4249 0.4249 0.0000  2 Co 2.20
Co1 0.3296 0.8296 0.5000  2 Ni 2.20
K2 0.7198 0.2198 0.5000  4 K 3.44-3.69, 4 Ni 3.51-3.59, 4 Co 3.62